NaSn2Pb | PBE | optimized geometry

## Properties
Total magnetic moment ... 0.00 μB/f.u.
DOS at the Fermi energy ... 8.35 states/eV per cell
E_form ... 0.07 eV per atom

Cell: 4.8613 4.8613 19.6748 Å, 90.00 90.00 120.00°
Space group R3m (No. 160, hexagonal axes)
Asymmetric unit:
Na (0.0000, 0.0000, 0.0000)
Sn (0.0000, 0.0000, 0.4286)
Sn (0.0000, 0.0000, 0.5820)
Pb (0.0000, 0.0000, 0.1749)

AcMgCd6 | PBE | optimized geometry

## Properties
Total magnetic moment ... 0.00 μB/f.u.
DOS at the Fermi energy ... 4.42 states/eV per cell
E_form ... -0.13 eV per atom

Cell: 4.799 4.799 9.221 Å, 90.00 90.00 90.00°
Space group P4/mmm (No. 123)
Asymmetric unit:
Ac (0.000, 0.000, 0.000)
Mg (0.000, 0.000, 0.500)
Cd (0.000, 0.500, 0.327)
Cd (0.500, 0.500, 0.149)

Question: The lowest DOS at the Fermi energy belongs to which entry?
Answer: AcMgCd6